Record 1
Compound: CuIrBr2
Source: the Alexandria database
Functional: GGA-PBE
Structure: optimized geometry

As for the crystal system: tetragonal. For the energy relative to the elements, uncorrected, the calculation gives 0.64 eV per atom. The uncorrected energy is -3.44 eV per atom. Its relative energy among the computed polymorphs is 387 meV per atom.

It has space group I-42d (No. 122), with a = 5.746 Å, b = 5.746 Å, c = 11.444 Å, α = 90.00°, β = 90.00° and γ = 90.00°. The distinct sites, in fractional coordinates, are Cu at (0.000, 0.000, 0.000), Ir at (0.000, 0.000, 0.500) and Br at (0.248, 0.250, 0.125).


Record 2
Compound: PrHoNiRu
Source: the Alexandria database
Functional: GGA-PBE
Structure: optimized geometry

As for the crystal system: cubic. The uncorrected energy is -6.36 eV per atom. The calculation puts the formation energy at -24 kJ per mole of atoms.

It has space group F-43m (No. 216), with a = 6.917 Å, b = 6.917 Å, c = 6.917 Å, α = 90.00°, β = 90.00° and γ = 90.00°. The distinct sites, in fractional coordinates, are Pr at (0.000, 0.000, 0.000), Ho at (0.000, 0.000, 0.500), Ni at (0.250, 0.250, 0.250) and Ru at (0.250, 0.250, 0.750).


Record 3
Compound: Sr3PdAu
Source: the Alexandria database
Functional: GGA-PBE
Structure: optimized geometry

As for the crystal system: monoclinic. The uncorrected energy is -3.21 eV per atom. The calculation puts the formation energy at -49 kJ per mole of atoms. Its relative energy among the computed polymorphs is 88 meV per atom.

It has space group C2 (No. 5), with a = 15.254 Å, b = 10.926 Å, c = 4.256 Å, α = 90.00°, β = 90.00° and γ = 90.00°. The distinct sites, in fractional coordinates, are Sr at (0.121, 0.000, 0.001), Sr at (0.124, 0.648, 0.999), Sr at (0.150, 0.319, 0.500), Pd at (0.249, 0.569, 0.499), Au at (0.000, 0.250, 0.000) and Au at (0.000, 0.821, 0.500).


Record 4
Compound: ScRu2Pt
Source: the Alexandria database
Functional: GGA-PBE
Structure: optimized geometry

As for the crystal system: cubic. The uncorrected energy is -7.84 eV per atom. The calculation puts the formation energy at -11 kJ per mole of atoms.

It has space group Fm-3m (No. 225), with a = 6.313 Å, b = 6.313 Å, c = 6.313 Å, α = 90.00°, β = 90.00° and γ = 90.00°. The distinct sites, in fractional coordinates, are Sc at (0.000, 0.000, 0.000), Ru at (0.250, 0.250, 0.250) and Pt at (0.000, 0.000, 0.500).


Record 5
Compound: Ce4CS5
Source: the Alexandria database
Functional: GGA-PBE
Structure: optimized geometry

As for the crystal system: orthorhombic. For the energy relative to the elements, uncorrected, the calculation gives -1.49 eV per atom. The uncorrected energy is -6.85 eV per atom.

It has space group Immm (No. 71), with a = 3.934 Å, b = 7.337 Å, c = 16.877 Å, α = 90.00°, β = 90.00° and γ = 90.00°. The distinct sites, in fractional coordinates, are Ce at (0.000, 0.000, 0.206), Ce at (0.000, 0.277, 0.500), C at (0.000, 0.000, 0.000), S at (0.000, 0.249, 0.335) and S at (0.000, 0.500, 0.000).


Record 6
Compound: Cs2CaBiBr6
Source: the Alexandria database
Functional: GGA-PBE
Structure: optimized geometry

As for the crystal system: tetragonal. For the energy relative to the elements, uncorrected, the calculation gives -1.44 eV per atom. The uncorrected energy is -3.20 eV per atom. Its relative energy among the computed polymorphs is 5 meV per atom.

It has space group I4/mmm (No. 139), with a = 8.168 Å, b = 8.168 Å, c = 12.765 Å, α = 90.00°, β = 90.00° and γ = 90.00°. The distinct sites, in fractional coordinates, are Cs at (0.000, 0.500, 0.250), Ca at (0.000, 0.000, 0.000), Bi at (0.000, 0.000, 0.500), Br at (0.000, 0.000, 0.223) and Br at (0.248, 0.248, 0.500).


Record 7
Compound: Nd2Ni12P7
Source: the Alexandria database
Functional: GGA-PBE
Structure: optimized geometry

As for the crystal system: trigonal. The uncorrected energy is -6.30 eV per atom. The calculation puts the formation energy at -71 kJ per mole of atoms. Its relative energy among the computed polymorphs is 4 meV per atom.

It has space group P-3 (No. 147), with a = 9.1203 Å, b = 9.1203 Å, c = 3.7577 Å, α = 90.00°, β = 90.00° and γ = 120.00°. The distinct sites, in fractional coordinates, are Nd at (0.3333, 0.6667, 0.2507), Ni at (0.0556, 0.4318, 0.7495), Ni at (0.1146, 0.2528, 0.2431), P at (0.0000, 0.0000, 0.5000) and P at (0.1063, 0.7041, 0.7508).


Record 8
Compound: K3Mg2Hg3
Source: the Alexandria database
Functional: GGA-PBE
Structure: optimized geometry

As for the crystal system: orthorhombic. The uncorrected energy is -1.09 eV per atom. The calculation puts the formation energy at -16 kJ per mole of atoms.

It has space group Cmcm (No. 63), with a = 4.999 Å, b = 13.177 Å, c = 16.609 Å, α = 90.00°, β = 90.00° and γ = 90.00°. The distinct sites, in fractional coordinates, are K at (0.000, 0.071, 0.116), K at (0.000, 0.378, 0.250), Mg at (0.000, 0.219, 0.579), Hg at (0.000, 0.312, 0.750) and Hg at (0.000, 0.388, 0.038).


Q: What is the formula in the second record?
A: PrHoNiRu


Q: Among the records above, which one has the lowest uncorrected energy?
A: ScRu2Pt


Q: Number 1 is which compound?
A: CuIrBr2


Q: Which of these has the highest uncorrected energy?
A: K3Mg2Hg3